Below is a relaxed YFe9Si4 crystal, with properties calculated at the GGA-PBE level.

electronic total energy	-109.77	eV per formula unit
D(E_F)	59.8	states/eV per cell

a b c (Å): 7.775 7.775 11.475
angles (deg): 90.00 90.00 90.00
Space group I4/mcm (No. 140)
Asymmetric unit:
Y: 0.000 0.000 0.250
Fe: 0.000 0.500 0.000
Fe: 0.067 0.199 0.000
Fe: 0.125 0.375 0.180
Si: 0.171 0.329 0.379

Below is a relaxed YFe11Si crystal, with properties calculated at the GGA-PBE level.

electronic total energy	-106.54	eV per formula unit
D(E_F)	26.2	states/eV per cell

a b c (Å): 4.707 11.874 6.323
angles (deg): 90.00 111.58 90.00
Space group C2/m (No. 12)
Asymmetric unit:
Y: 0.000 0.000 0.000
Fe: 0.000 0.500 0.500
Fe: 0.113 0.387 0.225
Fe: 0.182 0.178 0.363
Fe: 0.250 0.250 0.000
Si: 0.000 0.000 0.500

Below is a relaxed Y2Fe3Si5 crystal, with properties calculated at the GGA-PBE level.

electronic total energy	-72.39	eV per formula unit
D(E_F)	20.0	states/eV per cell

a b c (Å): 10.363 10.363 5.490
angles (deg): 90.00 90.00 90.00
Space group P4/mnc (No. 128)
Asymmetric unit:
Y: 0.070 0.236 0.000
Fe: 0.000 0.500 0.250
Fe: 0.123 0.855 0.500
Si: 0.000 0.000 0.270
Si: 0.022 0.320 0.500
Si: 0.177 0.677 0.250

Below is a relaxed Y2FeSi crystal, with properties calculated at the GGA-PBE level.

electronic total energy	-28.31	eV per formula unit
D(E_F)	13.6	states/eV per cell

a b c (Å): 4.0059 4.0059 20.5241
angles (deg): 90.00 90.00 120.00
Space group R3m (No. 160, hexagonal axes)
Asymmetric unit:
Y: 0.0000 0.0000 0.0000
Y: 0.0000 0.0000 0.1760
Fe: 0.0000 0.0000 0.7560
Si: 0.0000 0.0000 0.4204

Below is a relaxed YFe2Si4 crystal, with properties calculated at the GGA-PBE level.

electronic total energy	-47.50	eV per formula unit
D(E_F)	6.2	states/eV per cell

a b c (Å): 7.982 7.982 3.204
angles (deg): 90.00 90.00 90.00
Space group P4_2/mnm (No. 136)
Asymmetric unit:
Y: 0.000 0.000 0.000
Fe: 0.219 0.219 0.500
Si: 0.066 0.697 0.500

Below is a relaxed YFeSi2 crystal, with properties calculated at the GGA-PBE level.

electronic total energy	-26.00	eV per formula unit
D(E_F)	7.0	states/eV per cell

a b c (Å): 3.941 3.941 8.809
angles (deg): 90.00 90.00 90.00
Space group I-4m2 (No. 119)
Asymmetric unit:
Y: 0.000 0.000 0.000
Fe: 0.000 0.500 0.750
Si: 0.000 0.000 0.500
Si: 0.000 0.500 0.250

Below is a relaxed Y2FeSi4 crystal, with properties calculated at the GGA-PBE level.

electronic total energy	-47.42	eV per formula unit
excess energy over the best structure of this formula in the dataset	0	meV/atom
D(E_F)	7.7	states/eV per cell

a b c (Å): 3.996 4.112 15.177
angles (deg): 90.00 90.00 90.00
Space group Amm2 (No. 38)
Asymmetric unit:
Y: 0.000 0.000 0.000
Y: 0.500 0.000 0.203
Fe: 0.000 0.000 0.797
Si: 0.000 0.000 0.358
Si: 0.000 0.000 0.647
Si: 0.500 0.000 0.542
Si: 0.500 0.000 0.858

Below is a relaxed Y2FeSi crystal, with properties calculated at the GGA-PBE level.

electronic total energy	-25.82	eV per formula unit
D(E_F)	24.1	states/eV per cell

a b c (Å): 7.589 7.589 6.304
angles (deg): 90.00 90.00 90.00
Space group I-42d (No. 122)
Asymmetric unit:
Y: 0.236 0.250 0.125
Fe: 0.000 0.000 0.000
Si: 0.000 0.000 0.500

| no. | uncorrected formation energy (eV/f.u.) |
| --- | --- |
| 1 | -5.5 |
| 2 | -1.6 |
| 3 | -7.0 |
| 4 | -1.5 |
| 5 | -2.4 |
| 6 | -0.2 |
| 7 | -4.3 |
| 8 | 1.0 |